# 1
Compound: GeTe
Source: the Alexandria database
Functional: GGA-PBE
Structure: optimized geometry

Properties
The calculation puts the formation energy (no corrections) at 18 meV/atom. As for the crystal system: orthorhombic. For the total energy, the calculation gives -3.861 eV/atom. As for the density of states at the Fermi level: 0.027 states/eV/atom. The symmetry is Amm2, No. 38.

Cell: 4.1016 10.7907 8.8790 Å, 90.00 90.00 90.00°
Closest atoms and distances in Å follow each position.
Fractional coordinates of all 12 atoms:
Ge (0.5000, 0.7679, 0.9004)  3 Te 2.75-2.89
Ge (0.5000, 0.2321, 0.9004)  3 Te 2.75-2.89
Ge (0.5000, 0.2679, 0.4004)  3 Te 2.75-2.89
Ge (0.5000, 0.7321, 0.4004)  3 Te 2.75-2.89
Ge (0.0000, 0.0000, 0.5992)  4 Te 2.80-2.98
Ge (0.0000, 0.5000, 0.0992)  4 Te 2.80-2.98
Te (0.0000, 0.2766, 0.6070)  3 Ge 2.75-2.98
Te (0.0000, 0.7234, 0.6070)  3 Ge 2.75-2.98
Te (0.0000, 0.7766, 0.1070)  3 Ge 2.75-2.98
Te (0.0000, 0.2234, 0.1070)  3 Ge 2.75-2.98
Te (0.5000, 0.0000, 0.3841)  4 Ge 2.80-2.89
Te (0.5000, 0.5000, 0.8841)  4 Ge 2.80-2.89

# 2
Compound: Ge3Te4
Source: the Alexandria database
Functional: GGA-PBE
Structure: optimized geometry

Properties
The calculation puts the formation energy (no corrections) at -43 meV/atom. As for the crystal system: trigonal. The relative energy among the computed polymorphs comes out at 0.0 meV per atom. For the total energy, the calculation gives -3.817 eV/atom. As for the density of states at the Fermi level: 0.574 states/eV/atom. The symmetry is R-3m, No. 166.

Cell: 4.1370 4.1370 13.4026 Å, 81.12 81.12 60.00°
Closest atoms and distances in Å follow each position.
Fractional coordinates of all 7 atoms:
Ge (0.7579, 0.7579, 0.7263)  6 Te 2.83-3.07
Ge (0.2421, 0.2421, 0.2737)  6 Te 2.83-3.07
Ge (0.0000, 0.0000, 0.0000)  6 Te 2.92
Te (0.3759, 0.3759, 0.8723)  6 Ge 2.92-3.07
Te (0.1297, 0.1297, 0.6108)  3 Ge 2.83
Te (0.8703, 0.8703, 0.3892)  3 Ge 2.83
Te (0.6241, 0.6241, 0.1277)  6 Ge 2.92-3.07

# 3
Compound: Ge3Te4
Source: the Alexandria database
Functional: GGA-PBE
Structure: optimized geometry

Properties
The calculation puts the formation energy (no corrections) at -24 meV/atom. As for the crystal system: monoclinic. The relative energy among the computed polymorphs comes out at 18.8 meV per atom. For the total energy, the calculation gives -3.799 eV/atom. As for the density of states at the Fermi level: 0.468 states/eV/atom. The symmetry is C2/m, No. 12.

Cell: 4.0227 7.1218 8.1131 Å, 116.19 104.35 90.00°
Closest atoms and distances in Å follow each position.
Fractional coordinates of all 7 atoms:
Ge (0.0000, 0.0000, 0.0000)  6 Te 2.94-2.96
Ge (0.2496, 0.2763, 0.4993)  6 Te 2.84-3.08
Ge (0.7504, 0.7237, 0.5007)  6 Te 2.84-3.08
Te (0.1238, 0.4619, 0.2475)  4 Ge 2.84-2.96
Te (0.8762, 0.5381, 0.7525)  4 Ge 2.84-2.96
Te (0.3744, 0.0451, 0.7488)  5 Ge 2.94-3.08
Te (0.6256, 0.9549, 0.2512)  5 Ge 2.94-3.08